(1)
The following is a DFT calculation (PBEsol) of crystalline ZrGeSe2N at its relaxed geometry.

Raw total energy in eV per atom: -5.90
V in Å³/f.u.: 89.03

a = 5.025 Å, b = 5.025 Å, c = 3.527 Å
α = 90.00°, β = 90.00°, γ = 90.00°
Element x y z (fractional)
1 Zr 0.000 0.000 0.000
2 Ge 0.500 0.500 0.500
3 Se 0.000 0.500 0.500
4 Se 0.500 0.000 0.500
5 N 0.500 0.500 0.000

=====

(2)
The following is a DFT calculation (PBEsol) of crystalline Zn2SiGeN4 at its relaxed geometry.

Raw total energy in eV per atom: -6.63
V in Å³/f.u.: 86.23

a = 5.342 Å, b = 5.103 Å, c = 6.327 Å
α = 90.00°, β = 90.29°, γ = 90.00°
Element x y z (fractional)
1 Zn 0.079 0.000 0.372
2 Zn 0.410 0.501 0.878
3 Zn 0.590 0.001 0.122
4 Zn 0.921 0.500 0.628
5 Si 0.075 0.998 0.879
6 Si 0.925 0.498 0.121
7 Ge 0.424 0.502 0.371
8 Ge 0.576 0.002 0.629
9 N 0.058 0.342 0.902
10 N 0.090 0.399 0.350
11 N 0.388 0.897 0.861
12 N 0.435 0.865 0.387
13 N 0.565 0.365 0.613
14 N 0.612 0.397 0.139
15 N 0.910 0.899 0.650
16 N 0.942 0.842 0.098

=====

(3)
The following is a DFT calculation (PBEsol) of crystalline SnGeN2 at its relaxed geometry.

Raw total energy in eV per atom: -6.61
V in Å³/f.u.: 55.03

a = 5.401 Å, b = 5.401 Å, c = 5.401 Å
α = 117.22°, β = 89.22°, γ = 123.80°
Element x y z (fractional)
1 Sn 0.121 0.250 0.371
2 Sn 0.879 0.750 0.629
3 Ge 0.420 0.802 0.118
4 Ge 0.684 0.302 0.882
5 N 0.049 0.443 0.106
6 N 0.337 0.943 0.894
7 N 0.705 0.205 0.500
8 N 0.705 0.705 0.000

=====

(4)
The following is a DFT calculation (PBEsol) of crystalline Sr4GeN4 at its relaxed geometry.

Raw total energy in eV per atom: -5.89
V in Å³/f.u.: 161.06
E above lowest polymorph in eV/atom: 0.0000

a = 6.800 Å, b = 6.800 Å, c = 8.460 Å
α = 97.67°, β = 97.67°, γ = 121.18°
Element x y z (fractional)
1 Sr 0.036 0.261 0.442
2 Sr 0.119 0.412 0.866
3 Sr 0.261 0.036 0.942
4 Sr 0.412 0.119 0.366
5 Sr 0.588 0.881 0.634
6 Sr 0.739 0.964 0.058
7 Sr 0.881 0.588 0.134
8 Sr 0.964 0.739 0.558
9 Ge 0.376 0.624 0.250
10 Ge 0.624 0.376 0.750
11 N 0.213 0.292 0.159
12 N 0.222 0.683 0.408
13 N 0.292 0.213 0.659
14 N 0.317 0.778 0.092
15 N 0.683 0.222 0.908
16 N 0.708 0.787 0.341
17 N 0.778 0.317 0.592
18 N 0.787 0.708 0.841